Arrangement A

The following is a DFT calculation (PBE-GGA) of crystalline Mg3Sc4 at its relaxed geometry.

The density is 2.13 g/cm3. The crystal system is trigonal. For the size of the total moment, the calculation gives 0.28 μB/f.u.

Cell: 10.0037 10.0037 13.6527 Å, 90.00 90.00 120.00°
Space group R-3m (No. 166, hexagonal axes)
Symmetry-distinct sites (fractional):
1 Mg 0.0000 0.0000 0.0000
2 Mg 0.0000 0.0000 0.4068
3 Mg 0.0000 0.5000 0.5000
4 Sc 0.0000 0.0000 0.2060
5 Sc 0.0047 0.5024 0.7402

***

Arrangement B

The following is a DFT calculation (PBE-GGA) of crystalline Mg3Sc4 at its relaxed geometry.

The density is 2.52 g/cm3. The crystal system is tetragonal. For the size of the total moment, the calculation gives 1.41 μB/f.u.

Cell: 3.2432 3.2432 31.6949 Å, 90.00 90.00 90.00°
Space group I4/mmm (No. 139)
Symmetry-distinct sites (fractional):
1 Mg 0.0000 0.0000 0.0000
2 Mg 0.0000 0.0000 0.2845
3 Sc 0.0000 0.0000 0.1433
4 Sc 0.0000 0.0000 0.4279

***

Arrangement C

The following is a DFT calculation (PBE-GGA) of crystalline Mg3Sc4 at its relaxed geometry.

The density is 2.51 g/cm3. The crystal system is hexagonal. For the size of the total moment, the calculation gives 0.81 μB/f.u.

Cell: 5.7449 5.7449 5.8613 Å, 90.00 90.00 120.00°
Space group P6/mmm (No. 191)
Symmetry-distinct sites (fractional):
1 Mg 0.0000 0.5000 0.0000
2 Sc 0.0000 0.0000 0.2615
3 Sc 0.3333 0.6667 0.5000

***

Result of the stability comparison: arrangement A is the least stable of them.

***

Arrangement A

The following is a DFT calculation (PBE-GGA) of crystalline Mg7Sc at its relaxed geometry.

The density is 1.94 g/cm3. The crystal system is tetragonal. For the size of the total moment, the calculation gives 0.00 μB/f.u.

Cell: 4.4779 4.4779 18.3238 Å, 90.00 90.00 90.00°
Space group I4/mmm (No. 139)
Symmetry-distinct sites (fractional):
1 Mg 0.0000 0.0000 0.0000
2 Mg 0.0000 0.0000 0.2536
3 Mg 0.0000 0.5000 0.1247
4 Sc 0.0000 0.0000 0.5000

***

Arrangement B

The following is a DFT calculation (PBE-GGA) of crystalline Mg7Sc at its relaxed geometry.

The density is 1.91 g/cm3. The crystal system is cubic. For the size of the total moment, the calculation gives 1.43 μB/f.u.

Cell: 9.0730 9.0730 9.0730 Å, 90.00 90.00 90.00°
Space group Fm-3m (No. 225)
Symmetry-distinct sites (fractional):
1 Mg 0.0000 0.0000 0.0000
2 Mg 0.0000 0.2500 0.2500
3 Sc 0.0000 0.0000 0.5000

***

Result of the stability comparison: arrangement B is the least stable of them.

***

Arrangement A

The following is a DFT calculation (PBE-GGA) of crystalline Mg3ScSe at its relaxed geometry.

The density is 2.48 g/cm3. The crystal system is cubic. For the size of the total moment, the calculation gives 0.00 μB/f.u.

Cell: 5.0885 5.0885 5.0885 Å, 90.00 90.00 90.00°
Space group Pm-3m (No. 221)
Symmetry-distinct sites (fractional):
1 Mg 0.0000 0.0000 0.5000
2 Sc 0.5000 0.5000 0.5000
3 Se 0.0000 0.0000 0.0000

***

Arrangement B

The following is a DFT calculation (PBE-GGA) of crystalline Mg3ScSe at its relaxed geometry.

The density is 1.81 g/cm3. The crystal system is cubic. For the size of the total moment, the calculation gives 0.75 μB/f.u.

Cell: 5.6495 5.6495 5.6495 Å, 90.00 90.00 90.00°
Space group Pm-3m (No. 221)
Symmetry-distinct sites (fractional):
1 Mg 0.0000 0.0000 0.5000
2 Sc 0.0000 0.0000 0.0000
3 Se 0.5000 0.5000 0.5000

***

Result of the stability comparison: arrangement B is the least stable of them.